Here is an optimized crystal structure of Ac6TeSe5 from Alexandria. Energies are from PBE.

a = 7.807 Å, b = 13.546 Å, c = 7.827 Å
α = 90.00°, β = 109.62°, γ = 90.00°
Space group C2/m (No. 12)
Unique sites:
Ac 0.241 0.000 0.256 x4
Ac 0.241 0.172 0.739 x8
Te 0.000 0.500 0.000 x2
Se 0.000 0.000 0.500 x2
Se 0.000 0.167 0.000 x4
Se 0.000 0.339 0.500 x4

Values from the calculation:
V   32.485 A^3/atom
Calculated total energy   -133.56 eV/cell
Formation energy from raw total energies   -1.7970 eV/atom
N(E_F)   12.47 states/eV per cell